Record 1
An optimized crystal structure of LaSiSn2Au. Source: Alexandria via LeMat-Bulk, functional PBE-GGA.

The structure in POSCAR format:
```
LaSiSn2Au
1.0
5.6125 0.0000 0.0000
0.0000 4.6095 0.0000
0.0000 0.0000 5.6125
Si Au Sn La
1 1 2 1
direct
0.0000 0.5000 0.0000
0.0000 0.0000 0.0000
0.0000 0.0000 0.5000
0.5000 0.0000 0.0000
0.5000 0.5000 0.5000
```

For the density of states at the Fermi level, the calculation gives 0.756 states/eV/atom. The calculation puts the uncorrected formation energy at 0.0683 eV per atom. The calculated total energy is -4.258 eV per atom. The value obtained for the magnetic moment is 0.0 μB/cell.

---

Record 2
An optimized crystal structure of SrLaSiAu2. Source: Alexandria via LeMat-Bulk, functional PBE-GGA.

The structure in POSCAR format:
```
SrLaSiAu2
1.0
-0.3093 -4.8281 2.4794
3.4004 1.7810 3.8923
-4.2454 1.7625 2.9024
Sr Si Au La
1 1 2 1
direct
0.0000 0.0000 0.0000
0.0000 0.5000 0.0000
0.0000 0.0000 0.5000
0.5000 0.0000 0.0000
0.5000 0.5000 0.5000
```

For the density of states at the Fermi level, the calculation gives 1.058 states/eV/atom. The calculation puts the uncorrected formation energy at 0.3367 eV per atom. The calculated total energy is -3.381 eV per atom. The value obtained for the magnetic moment is 0.0 μB/cell.

---

Record 3
An optimized crystal structure of SrLaSiAu. Source: Alexandria via LeMat-Bulk, functional PBE-GGA.

The structure in POSCAR format:
```
SrLaSiAu
1.0
5.3542 0.0000 0.0000
2.6771 4.6369 0.0000
2.6771 1.5456 4.3717
Sr Si Au La
1 1 1 1
direct
0.5000 0.5000 0.5000
0.7500 0.7500 0.7500
0.2500 0.2500 0.2500
0.0000 0.0000 0.0000
```

For the density of states at the Fermi level, the calculation gives 0.276 states/eV/atom. The calculation puts the uncorrected formation energy at -0.6082 eV per atom. The calculated total energy is -4.436 eV per atom. The value obtained for the magnetic moment is 0.0 μB/cell.

---

Please write out number 1 again, unchanged.
An optimized crystal structure of LaSiSn2Au. Source: Alexandria via LeMat-Bulk, functional PBE-GGA.

The structure in POSCAR format:
```
LaSiSn2Au
1.0
5.6125 0.0000 0.0000
0.0000 4.6095 0.0000
0.0000 0.0000 5.6125
Si Au Sn La
1 1 2 1
direct
0.0000 0.5000 0.0000
0.0000 0.0000 0.0000
0.0000 0.0000 0.5000
0.5000 0.0000 0.0000
0.5000 0.5000 0.5000
```

For the density of states at the Fermi level, the calculation gives 0.756 states/eV/atom. The calculation puts the uncorrected formation energy at 0.0683 eV per atom. The calculated total energy is -4.258 eV per atom. The value obtained for the magnetic moment is 0.0 μB/cell.

---

What is the calculated total energy in the first record? -4.258 eV per atom

---

Number 1 is which compound? LaSiSn2Au

---

Repeat the first record exactly.
An optimized crystal structure of LaSiSn2Au. Source: Alexandria via LeMat-Bulk, functional PBE-GGA.

The structure in POSCAR format:
```
LaSiSn2Au
1.0
5.6125 0.0000 0.0000
0.0000 4.6095 0.0000
0.0000 0.0000 5.6125
Si Au Sn La
1 1 2 1
direct
0.0000 0.5000 0.0000
0.0000 0.0000 0.0000
0.0000 0.0000 0.5000
0.5000 0.0000 0.0000
0.5000 0.5000 0.5000
```

For the density of states at the Fermi level, the calculation gives 0.756 states/eV/atom. The calculation puts the uncorrected formation energy at 0.0683 eV per atom. The calculated total energy is -4.258 eV per atom. The value obtained for the magnetic moment is 0.0 μB/cell.